Record 1
## NaNbMo3 (PBE)

Data for crystalline NaNbMo3 at its relaxed geometry.

For the raw total energy, the calculation gives -6.9973 eV per atom. The value obtained for the total magnetization is 0.0 μB/f.u. The value obtained for the calculated volume is 22.589 A^3/atom.

The space group is Pm-3m (No. 221) and the conventional cell measures 4.834, 4.834 and 4.834 Å, with angles of 90.00, 90.00 and 90.00 degrees. The inequivalent atoms are Na at (0.000, 0.000, 0.000), Nb at (0.500, 0.500, 0.500) and Mo at (0.000, 0.500, 0.500).


Record 2
## Na3NbMo (PBE)

Data for crystalline Na3NbMo at its relaxed geometry.

For the raw total energy, the calculation gives -2.8341 eV per atom. The value obtained for the total magnetization is 10.1 μB/f.u. The value obtained for the calculated volume is 40.125 A^3/atom.

The space group is Pm-3m (No. 221) and the conventional cell measures 5.854, 5.854 and 5.854 Å, with angles of 90.00, 90.00 and 90.00 degrees. The inequivalent atoms are Na at (0.000, 0.000, 0.500), Nb at (0.000, 0.000, 0.000) and Mo at (0.500, 0.500, 0.500).


Record 3
## NaNb2Mo (PBE)

Data for crystalline NaNb2Mo at its relaxed geometry.

For the raw total energy, the calculation gives -7.4012 eV per atom. The value obtained for the total magnetization is 0.0 μB/f.u. The value obtained for the calculated volume is 17.973 A^3/atom.

The space group is Fm-3m (No. 225) and the conventional cell measures 6.601, 6.601 and 6.601 Å, with angles of 90.00, 90.00 and 90.00 degrees. The inequivalent atoms are Na at (0.000, 0.000, 0.000), Nb at (0.250, 0.250, 0.250) and Mo at (0.000, 0.000, 0.500).


Record 4
## NaNbMo2 (PBE)

Data for crystalline NaNbMo2 at its relaxed geometry.

For the raw total energy, the calculation gives -6.9947 eV per atom. The value obtained for the total magnetization is 0.1 μB/f.u. The value obtained for the calculated volume is 18.594 A^3/atom.

The space group is I-42d (No. 122) and the conventional cell measures 3.891, 3.891 and 19.650 Å, with angles of 90.00, 90.00 and 90.00 degrees. The inequivalent atoms are Na at (0.000, 0.000, 0.000), Nb at (0.000, 0.000, 0.500) and Mo at (0.214, 0.250, 0.625).